Density functional theory data (GGA-PBE) for a geometry-optimized GaHgTePb structure.

The value obtained for the energy relative to the elements, uncorrected is 2 meV per atom.

Structure (CIF):
```
data_GaHgTePb
_cell_length_a 7.7219
_cell_length_b 7.7219
_cell_length_c 7.7219
_cell_angle_alpha 90.00
_cell_angle_beta 90.00
_cell_angle_gamma 90.00
_space_group_name_H-M_alt 'F -4 3 m'
_space_group_IT_number 216
_space_group_name_Hall 'F -4 2 3'
loop_
_atom_site_label
_atom_site_fract_x
_atom_site_fract_y
_atom_site_fract_z
Ga1 0.0000 0.0000 0.0000
Hg1 0.2500 0.2500 0.2500
Te1 0.2500 0.2500 0.7500
Pb1 0.0000 0.0000 0.5000
```